1.
# BeAlCd2

A relaxed structure of BeAlCd2 (PBE, Alexandria via LeMat-Bulk).

The space group is C2/m (No. 12) and the conventional cell measures 9.0196, 2.9244 and 5.6678 Å, with angles of 90.00, 105.26 and 90.00 degrees. The asymmetric unit holds Be at (0.0000, 0.0000, 0.0000), Al at (0.0000, 0.5000, 0.5000) and Cd at (0.2340, 0.5000, 0.2293).

The crystal system is monoclinic. For the formation energy, the calculation gives 1.4 eV/f.u. The offset from the most stable computed form comes out at 124 meV per atom.

2.
# ScFe

A relaxed structure of ScFe (PBE, Alexandria via LeMat-Bulk).

The space group is P-6m2 (No. 187) and the conventional cell measures 3.1305, 3.1305 and 3.9054 Å, with angles of 90.00, 90.00 and 120.00 degrees. The asymmetric unit holds Sc at (0.0000, 0.0000, 0.0000) and Fe at (0.6667, 0.3333, 0.5000).

The crystal system is hexagonal. For the formation energy, the calculation gives 0.5 eV/f.u.

3.
# Sm2PdAu

A relaxed structure of Sm2PdAu (PBE, Alexandria via LeMat-Bulk).

The space group is R3m (No. 160, hexagonal axes) and the conventional cell measures 4.1565, 4.1565 and 21.4689 Å, with angles of 90.00, 90.00 and 120.00 degrees. The asymmetric unit holds Sm at (0.0000, 0.0000, 0.0000), Sm at (0.0000, 0.0000, 0.1795), Pd at (0.0000, 0.0000, 0.5886) and Au at (0.0000, 0.0000, 0.4240).

The crystal system is trigonal. For the formation energy, the calculation gives -2.8 eV/f.u.

4.
# BaMgClF3

A relaxed structure of BaMgClF3 (PBE, Alexandria via LeMat-Bulk).

The space group is C2/c (No. 15) and the conventional cell measures 7.3986, 12.8991 and 5.5042 Å, with angles of 90.00, 112.27 and 90.00 degrees. The asymmetric unit holds Ba at (0.0000, 0.1611, 0.2500), Mg at (0.0000, 0.4515, 0.7500), Cl at (0.0000, 0.0781, 0.7500), F at (0.0000, 0.3036, 0.7500) and F at (0.1462, 0.4398, 0.5091).

The crystal system is monoclinic. The total energy comes out at -0.181 hartree per atom.

5.
# LiSn2Ge2

A relaxed structure of LiSn2Ge2 (PBE, Alexandria via LeMat-Bulk).

The space group is P4/mbm (No. 127) and the conventional cell measures 7.8243, 7.8243 and 3.8684 Å, with angles of 90.00, 90.00 and 90.00 degrees. The asymmetric unit holds Li at (0.0000, 0.0000, 0.0000), Sn at (0.1483, 0.3517, 0.0000) and Ge at (0.1390, 0.6390, 0.5000).

The crystal system is tetragonal. For the formation energy, the calculation gives 0.4 eV/f.u. The offset from the most stable computed form comes out at 43 meV per atom.